1.
Material: YAsPb
Method: DFT, GGA-PBEsol
State: optimized geometry

Calculated values
DFT formation energy   -1.3 eV/f.u.
DOS at the Fermi energy   1.23 states/eV/f.u.

Lattice parameters (Å, degrees): 4.882 4.882 4.882 60.00 60.00 60.00
Fractional positions:
Y  0.000  0.000  0.000
As  0.250  0.250  0.250
Pb  0.500  0.500  0.500

=====

2.
Material: SrZr2Mn
Method: DFT, GGA-PBEsol
State: optimized geometry

Calculated values
DFT formation energy   2.8 eV/f.u.
DOS at the Fermi energy   4.88 states/eV/f.u.
Relative energy among the computed polymorphs   253 meV per atom

Lattice parameters (Å, degrees): 3.740 4.788 5.117 90.00 90.00 90.00
Fractional positions:
Sr  0.000  0.000  0.000
Zr  0.000  0.500  0.500
Zr  0.500  0.000  0.500
Mn  0.500  0.500  0.000

=====

3.
Material: NaLi3Pb
Method: DFT, GGA-PBEsol
State: optimized geometry

Calculated values
DFT formation energy   -0.3 eV/f.u.
DOS at the Fermi energy   1.57 states/eV/f.u.

Lattice parameters (Å, degrees): 5.249 5.249 5.249 90.00 90.00 90.00
Fractional positions:
Na  0.000  0.000  0.000
Li  0.000  0.500  0.500
Li  0.500  0.000  0.500
Li  0.500  0.500  0.000
Pb  0.500  0.500  0.500

=====

4.
Material: ZrMn2Ag
Method: DFT, GGA-PBEsol
State: optimized geometry

Calculated values
DFT formation energy   0.8 eV/f.u.
DOS at the Fermi energy   3.12 states/eV/f.u.
Relative energy among the computed polymorphs   0 meV per atom

Lattice parameters (Å, degrees): 4.088 4.088 3.661 90.00 90.00 90.00
Fractional positions:
Zr  0.000  0.000  0.000
Mn  0.000  0.500  0.500
Mn  0.500  0.000  0.500
Ag  0.500  0.500  0.000